# 1
UCdBi2 after structural relaxation. Source: Alexandria via LeMat-Bulk, functional PBE.

Cell lengths 4.0927, 4.0927, 6.7992 Å; angles 90.00, 90.00, 90.00 degrees
Last column: nearest neighbours and their distance in Å.
Sites, in units of the cell vectors:
U (0.5000, 0.5000, 0.0000)  8 Bi 3.32, 2 Cd 3.40
Cd (0.5000, 0.5000, 0.5000)  8 Bi 3.39, 2 U 3.40
Bi (0.0000, 0.0000, 0.7599)  2 Bi 3.27-3.53, 4 U 3.32, 4 Cd 3.39
Bi (0.0000, 0.0000, 0.2401)  2 Bi 3.27-3.53, 4 U 3.32, 4 Cd 3.39

Computed properties:
- ΔH_f (0 K) (eV per atom) = 0.074
- D(E_F) (states/eV/cell) = 5.27
- size of the total moment (μB per formula unit) = 2.73


# 2
Dy3Sc5Se12 after structural relaxation. Source: Alexandria via LeMat-Bulk, functional PBE.

Cell lengths 14.0990, 14.0990, 14.0990 Å; angles 109.47, 109.47, 109.47 degrees
Last column: nearest neighbours and their distance in Å.
Sites, in units of the cell vectors:
Se (0.2824, 0.8731, 0.9580)  2 Sc 2.54-2.72
Se (0.1269, 0.4092, 0.0849)  2 Sc 2.54-2.72
Se (0.8731, 0.2824, 0.4580)  2 Sc 2.54-2.72
Se (0.2176, 0.5420, 0.6269)  2 Sc 2.54-2.72
Se (0.3731, 0.4151, 0.0908)  2 Sc 2.54-2.72
Se (0.9580, 0.3731, 0.2824)  2 Sc 2.54-2.72
Se (0.7176, 0.1269, 0.0420)  2 Sc 2.54-2.72
Se (0.2176, 0.6757, 0.0908)  2 Sc 2.54-2.72
Se (0.4151, 0.0420, 0.3243)  2 Sc 2.54-2.72
Se (0.4092, 0.1269, 0.5849)  2 Sc 2.54-2.72
Se (0.7824, 0.3243, 0.9092)  2 Sc 2.54-2.72
Se (0.5908, 0.8731, 0.4151)  2 Sc 2.54-2.72
Se (0.7176, 0.5908, 0.1757)  2 Sc 2.54-2.72
Se (0.1269, 0.7176, 0.5420)  2 Sc 2.54-2.72
Se (0.6269, 0.0420, 0.2176)  2 Sc 2.54-2.72
Se (0.6757, 0.2176, 0.5908)  2 Sc 2.54-2.72
Se (0.5420, 0.3243, 0.9151)  2 Sc 2.54-2.72
Se (0.6757, 0.4580, 0.5849)  2 Sc 2.54-2.72
Se (0.6269, 0.5849, 0.9092)  2 Sc 2.54-2.72
Se (0.7824, 0.4580, 0.3731)  2 Sc 2.54-2.72
Se (0.5849, 0.9580, 0.6757)  2 Sc 2.54-2.72
Se (0.0908, 0.9151, 0.3731)  2 Sc 2.54-2.72
Se (0.5420, 0.2176, 0.1269)  2 Sc 2.54-2.72
Se (0.3243, 0.5420, 0.4151)  2 Sc 2.54-2.72
Se (0.9092, 0.0849, 0.6269)  2 Sc 2.54-2.72
Se (0.1757, 0.0908, 0.7176)  2 Sc 2.54-2.72
Se (0.8243, 0.9092, 0.2824)  2 Sc 2.54-2.72
Se (0.5908, 0.7176, 0.6757)  2 Sc 2.54-2.72
Se (0.2824, 0.4092, 0.8243)  2 Sc 2.54-2.72
Se (0.0420, 0.4151, 0.8243)  2 Sc 2.54-2.72
Se (0.3731, 0.9580, 0.7824)  2 Sc 2.54-2.72
Se (0.5849, 0.6269, 0.4092)  2 Sc 2.54-2.72
Se (0.0849, 0.1757, 0.4580)  2 Sc 2.54-2.72
Se (0.4151, 0.3731, 0.5908)  2 Sc 2.54-2.72
Se (0.0908, 0.1757, 0.2176)  2 Sc 2.54-2.72
Se (0.4580, 0.6757, 0.0849)  2 Sc 2.54-2.72
Se (0.8731, 0.5908, 0.9151)  2 Sc 2.54-2.72
Se (0.8243, 0.9151, 0.0420)  2 Sc 2.54-2.72
Se (0.0420, 0.6269, 0.7176)  2 Sc 2.54-2.72
Se (0.3243, 0.7824, 0.4092)  2 Sc 2.54-2.72
Se (0.9092, 0.8243, 0.7824)  2 Sc 2.54-2.72
Se (0.0849, 0.9092, 0.1269)  2 Sc 2.54-2.72
Se (0.1757, 0.0849, 0.9580)  2 Sc 2.54-2.72
Se (0.9151, 0.0908, 0.8731)  2 Sc 2.54-2.72
Se (0.4092, 0.2824, 0.3243)  2 Sc 2.54-2.72
Se (0.9151, 0.8243, 0.5420)  2 Sc 2.54-2.72
Se (0.4580, 0.7824, 0.8731)  2 Sc 2.54-2.72
Se (0.9580, 0.5849, 0.1757)  2 Sc 2.54-2.72
Sc (0.6250, 0.8750, 0.2500)  4 Se 2.54
Sc (0.0000, 0.0000, 0.0000)  6 Se 2.72
Sc (0.1250, 0.3750, 0.2500)  4 Se 2.54
Sc (0.7500, 0.6250, 0.3750)  4 Se 2.54
Sc (0.2500, 0.3750, 0.6250)  4 Se 2.54
Sc (0.8750, 0.2500, 0.6250)  4 Se 2.54
Sc (0.5000, 0.0000, 0.0000)  6 Se 2.72
Sc (0.5000, 0.0000, 0.5000)  6 Se 2.72
Sc (0.6250, 0.7500, 0.8750)  4 Se 2.54
Sc (0.0000, 0.0000, 0.5000)  6 Se 2.72
Sc (0.3750, 0.1250, 0.7500)  4 Se 2.54
Sc (0.2500, 0.8750, 0.1250)  4 Se 2.54
Sc (0.0000, 0.5000, 0.0000)  6 Se 2.72
Sc (0.5000, 0.5000, 0.5000)  6 Se 2.72
Sc (0.5000, 0.5000, 0.0000)  6 Se 2.72
Sc (0.1250, 0.7500, 0.3750)  4 Se 2.54
Sc (0.8750, 0.6250, 0.7500)  4 Se 2.54
Sc (0.3750, 0.2500, 0.1250)  4 Se 2.54
Sc (0.7500, 0.1250, 0.8750)  4 Se 2.54
Sc (0.0000, 0.5000, 0.5000)  6 Se 2.72
Dy (0.1250, 0.8750, 0.7500)  8 Se 3.05-3.11
Dy (0.8750, 0.7500, 0.1250)  8 Se 3.05-3.11
Dy (0.8750, 0.1250, 0.2500)  8 Se 3.05-3.11
Dy (0.3750, 0.7500, 0.6250)  8 Se 3.05-3.11
Dy (0.7500, 0.8750, 0.6250)  8 Se 3.05-3.11
Dy (0.1250, 0.2500, 0.8750)  8 Se 3.05-3.11
Dy (0.2500, 0.1250, 0.3750)  8 Se 3.05-3.11
Dy (0.2500, 0.6250, 0.8750)  8 Se 3.05-3.11
Dy (0.6250, 0.2500, 0.3750)  8 Se 3.05-3.11
Dy (0.7500, 0.3750, 0.1250)  8 Se 3.05-3.11
Dy (0.6250, 0.3750, 0.7500)  8 Se 3.05-3.11
Dy (0.3750, 0.6250, 0.2500)  8 Se 3.05-3.11

Computed properties:
- energy relative to the elements, uncorrected (eV/atom) = -1.604
- size of the total moment (μB per formula unit) = 0.00


# 3
ZrIr3 after structural relaxation. Source: Alexandria via LeMat-Bulk, functional PBE.

Cell lengths 2.8938, 4.5431, 4.8618 Å; angles 90.00, 90.00, 90.00 degrees
Last column: nearest neighbours and their distance in Å.
Sites, in units of the cell vectors:
Zr (0.0000, 0.5000, 0.3384)  10 Ir 2.79-2.87, 2 Zr 2.89
Ir (0.5000, 0.5000, 0.8484)  8 Ir 2.77-2.89, 4 Zr 2.79-2.87
Ir (0.5000, 0.0000, 0.5024)  8 Ir 2.73-2.93, 4 Zr 2.81
Ir (0.0000, 0.0000, 0.9775)  10 Ir 2.73-2.93, 2 Zr 2.87

Computed properties:
- ΔH_f (0 K) (eV per atom) = -0.442
- D(E_F) (states/eV/cell) = 3.77
- size of the total moment (μB per formula unit) = 0.00